No. 1
14
Lattice="4.190 0.000 0.631 2.041 5.337 0.674 0.113 0.479 13.477" Properties=species:S:1:pos:R:3 comment="PBE Dy3SiGe3, relaxed" n_ef_per_ev_cell=5.9 vol_a3_per_cell=300.3 raw_formation_energy_mev_per_atom=-704 mass_density_g_cm3=8.1 m_tot_mub_per_fu=0.000 spacegroup=C2/m pbc="T T T"
Dy 2.934 2.256 8.972
Dy 3.410 3.560 5.810
Dy 1.626 1.305 3.432
Dy 4.718 4.511 11.351
Dy 2.341 2.007 12.910
Dy 4.003 3.809 1.873
Si 3.442 0.508 5.599
Si 2.902 5.307 9.184
Ge 5.183 4.179 8.266
Ge 1.161 1.637 6.516
Ge 2.314 4.922 13.086
Ge 4.030 0.894 1.696
Ge 5.797 4.289 4.188
Ge 0.547 1.527 10.595



No. 2
4
Lattice="-3.437 0.803 1.660 -3.272 -0.159 -2.117 -3.051 -7.001 1.650" Properties=species:S:1:pos:R:3 comment="PBE Dy2SiGe, relaxed" n_ef_per_ev_cell=4.2 vol_a3_per_cell=98.6 raw_formation_energy_mev_per_atom=-550 mass_density_g_cm3=7.2 m_tot_mub_per_fu=0.000 spacegroup=R-3m pbc="T T T"
Ge -4.880 -3.179 0.596
Si 0.000 0.000 0.000
Dy -7.325 -4.806 0.904
Dy -2.436 -1.551 0.289



No. 3
10
Lattice="4.197 -0.009 -0.748 -2.197 5.308 -0.238 -0.455 -0.294 9.551" Properties=species:S:1:pos:R:3 comment="PBE Dy2SiGe2, relaxed" n_ef_per_ev_cell=4.7 vol_a3_per_cell=210.0 raw_formation_energy_mev_per_atom=-636 mass_density_g_cm3=7.9 m_tot_mub_per_fu=0.000 spacegroup=P-1 pbc="T T T"
Dy 2.211 3.951 0.224
Dy 0.488 1.821 2.727
Dy -0.667 1.054 8.340
Dy 1.056 3.184 5.838
Si 1.113 0.138 6.196
Si 0.431 4.867 2.368
Ge -0.711 4.003 8.096
Ge 2.979 1.281 4.504
Ge 2.254 1.002 0.469
Ge -1.435 3.724 4.061



No. 4
7
Lattice="-3.087 2.685 0.424 -1.830 -4.893 -2.294 0.698 -0.368 7.410" Properties=species:S:1:pos:R:3 comment="PBE Dy3Si2Ge2, relaxed" n_ef_per_ev_cell=3.3 vol_a3_per_cell=148.4 raw_formation_energy_mev_per_atom=-746 mass_density_g_cm3=7.7 m_tot_mub_per_fu=0.000 spacegroup=C2/m pbc="T T T"
Dy -1.893 -2.387 1.331
Dy -2.326 -0.189 4.210
Dy -1.544 1.342 0.212
Si -3.560 -0.862 -0.511
Si -0.659 -1.714 6.052
Ge -4.197 -2.176 3.169
Ge -0.022 -0.400 2.372



No. 5
11
Lattice="6.464 -0.003 -0.906 0.003 7.195 0.003 -1.307 -0.002 6.395" Properties=species:S:1:pos:R:3 comment="PBE Dy7Si2Ge2, relaxed" n_ef_per_ev_cell=10.0 vol_a3_per_cell=288.9 raw_formation_energy_mev_per_atom=-333 mass_density_g_cm3=7.7 m_tot_mub_per_fu=0.000 spacegroup=Cmmm pbc="T T T"
Dy 5.810 2.053 2.295
Dy 1.930 5.135 5.943
Dy -0.649 5.137 3.197
Dy 3.230 2.055 -0.450
Dy 0.000 0.000 0.000
Dy 2.583 5.293 2.745
Dy 2.578 1.897 2.747
Si 4.315 3.593 4.593
Si 0.845 3.597 0.899
Ge 4.196 7.192 1.231
Ge 0.964 -0.002 4.262



No. 6
6
Lattice="3.717 0.000 1.165 1.677 5.607 1.162 0.184 -0.682 5.924" Properties=species:S:1:pos:R:3 comment="PBE DySiGe, relaxed" n_ef_per_ev_cell=2.1 vol_a3_per_cell=123.9 raw_formation_energy_mev_per_atom=-508 mass_density_g_cm3=7.1 m_tot_mub_per_fu=0.000 spacegroup=Immm pbc="T T T"
Dy 1.398 1.223 2.053
Dy 4.181 3.702 6.199
Si 1.456 4.678 1.866
Si 0.405 0.247 5.221
Ge 3.042 3.526 3.321
Ge 2.537 1.399 4.931



No. 7
4
Lattice="4.298 0.000 0.000 0.000 3.908 0.000 -2.149 0.000 5.327" Properties=species:S:1:pos:R:3 comment="PBE TbDySiGe, relaxed" n_ef_per_ev_cell=2.6 vol_a3_per_cell=89.5 raw_formation_energy_mev_per_atom=-842 mass_density_g_cm3=7.8 m_tot_mub_per_fu=0.000 spacegroup=Amm2 pbc="T T T"
Tb 2.149 1.954 3.836
Dy 0.000 0.000 1.476
Si 2.149 1.954 0.867
Ge 0.000 0.000 4.476



No. 8
6
Lattice="4.493 0.000 0.000 0.000 4.493 0.000 0.000 0.000 5.499" Properties=species:S:1:pos:R:3 comment="PBE DySiTc2Ge2, relaxed" n_ef_per_ev_cell=3.3 vol_a3_per_cell=111.0 raw_formation_energy_mev_per_atom=-213 mass_density_g_cm3=8.0 m_tot_mub_per_fu=0.000 spacegroup=P4/mmm pbc="T T T"
Dy 0.000 0.000 2.749
Si 0.000 0.000 0.000
Tc 2.247 0.000 0.000
Tc 0.000 2.247 0.000
Ge 2.247 2.247 4.011
Ge 2.247 2.247 1.488



No. 9
12
Lattice="4.238 0.000 0.000 0.000 8.605 0.201 -2.119 -2.590 8.992" Properties=species:S:1:pos:R:3 comment="PBE Dy6SiGe2Te3, relaxed" n_ef_per_ev_cell=2.1 vol_a3_per_cell=330.1 raw_formation_energy_mev_per_atom=-1157 mass_density_g_cm3=7.7 m_tot_mub_per_fu=0.000 spacegroup=C2/m pbc="T T T"
Dy 0.000 5.990 6.308
Dy 2.119 3.978 3.227
Dy 2.119 0.025 2.885
Dy 0.000 1.962 0.159
Dy 2.119 4.053 9.034
Dy 0.000 2.037 5.966
Si 2.119 0.000 0.000
Ge 2.119 4.013 6.130
Ge 0.000 2.002 3.063
Te 2.119 4.303 0.100
Te 2.119 -0.290 6.024
Te 0.000 6.305 3.169



No. 10
8
Lattice="4.235 0.000 0.000 0.000 7.322 0.126 0.000 -2.562 7.044" Properties=species:S:1:pos:R:3 comment="PBE Dy4SiGeTe2, relaxed" n_ef_per_ev_cell=1.4 vol_a3_per_cell=219.8 raw_formation_energy_mev_per_atom=-1141 mass_density_g_cm3=7.6 m_tot_mub_per_fu=0.000 spacegroup=P2/m pbc="T T T"
Dy 2.117 1.200 1.577
Dy 2.117 3.560 5.593
Dy 0.000 -0.085 5.533
Dy 0.000 4.845 1.637
Si 2.117 3.661 0.063
Ge 0.000 0.000 0.000
Te 2.117 -1.281 3.522
Te 0.000 2.380 3.585



No. 11
10
Lattice="4.194 0.000 0.000 0.000 6.190 1.027 0.000 -1.741 8.331" Properties=species:S:1:pos:R:3 comment="PBE Dy2ZnSiGe, relaxed" n_ef_per_ev_cell=2.4 vol_a3_per_cell=223.8 raw_formation_energy_mev_per_atom=-607 mass_density_g_cm3=7.3 m_tot_mub_per_fu=0.000 spacegroup=P2_1/m pbc="T T T"
Dy 3.146 3.994 6.187
Dy 3.146 4.468 1.673
Dy 1.049 0.455 3.171
Dy 1.049 -0.019 7.686
Zn 1.049 2.048 5.700
Zn 3.146 2.401 3.659
Si 1.049 3.814 3.848
Si 3.146 0.635 5.511
Ge 1.049 3.174 8.050
Ge 3.146 1.275 1.308



No. 12
18
Lattice="7.657 -0.227 0.000 -2.738 7.500 0.000 0.000 0.000 7.853" Properties=species:S:1:pos:R:3 comment="PBE Sm2Dy3Ge4, relaxed" e_form_ev_per_atom=-0.873 n_ef_per_ev_cell=11.3 vol_a3_per_cell=446.1 mass_density_g_cm3=8.0 m_tot_mub_per_fu=0.000 spacegroup=P2_1/c pbc="T T T"
Sm 3.778 1.357 2.508
Sm 4.968 5.802 6.434
Sm 1.140 5.915 5.346
Sm -0.050 1.471 1.419
Dy -1.369 3.750 3.927
Dy 2.459 3.636 0.000
Dy 4.941 1.622 6.568
Dy 3.806 5.537 2.641
Dy -0.022 5.651 1.285
Dy 1.112 1.735 5.212
Ge 6.104 0.469 4.218
Ge 2.642 6.690 0.291
Ge -1.186 6.804 3.635
Ge 2.276 0.582 7.562
Ge 5.320 3.495 1.024
Ge 3.426 3.664 4.951
Ge -0.402 3.777 6.829
Ge 1.492 3.609 2.903



No. 13
6
Lattice="4.370 -0.029 0.597 -0.002 4.405 0.225 -1.112 -0.415 8.121" Properties=species:S:1:pos:R:3 comment="PBE SmDyGe, relaxed" e_form_ev_per_atom=-0.601 n_ef_per_ev_cell=7.6 vol_a3_per_cell=159.7 mass_density_g_cm3=8.0 m_tot_mub_per_fu=0.000 spacegroup=P4/nmm pbc="T T T"
Sm 2.524 2.127 3.789
Sm 0.019 -0.180 5.726
Dy 2.921 0.072 0.791
Dy 0.735 2.289 0.602
Ge 2.109 1.976 6.812
Ge 0.432 -0.025 2.703



No. 14
4
Lattice="-2.257 2.374 1.723 -1.321 -0.810 3.361 6.662 4.970 5.855" Properties=species:S:1:pos:R:3 comment="PBE SmDy2Ge, relaxed" e_form_ev_per_atom=-0.234 n_ef_per_ev_cell=5.1 vol_a3_per_cell=117.9 mass_density_g_cm3=7.7 m_tot_mub_per_fu=0.000 spacegroup=R-3m pbc="T T T"
Ge 0.000 0.000 0.000
Sm 1.542 3.267 5.470
Dy 0.359 1.400 2.517
Dy 2.725 5.133 8.423



No. 15
18
Lattice="5.813 0.000 0.000 0.000 9.233 0.000 0.000 0.000 9.233" Properties=species:S:1:pos:R:3 comment="PBE SmDy4Ge4, relaxed" e_form_ev_per_atom=-0.579 n_ef_per_ev_cell=18.0 vol_a3_per_cell=495.6 mass_density_g_cm3=7.3 m_tot_mub_per_fu=0.000 spacegroup=P4_2/n pbc="T T T"
Sm 0.000 0.000 0.000
Sm 2.907 4.617 4.617
Dy 2.259 3.086 8.326
Dy 5.165 5.524 7.703
Dy 2.259 6.147 0.907
Dy 0.648 1.530 5.524
Dy 3.554 8.326 6.147
Dy 0.648 7.703 3.709
Dy 5.165 3.709 1.530
Dy 3.554 0.907 3.086
Ge 3.543 7.227 3.361
Ge 3.543 2.006 5.873
Ge 0.636 7.977 6.623
Ge 5.177 2.610 7.977
Ge 5.177 6.623 1.256
Ge 2.270 3.361 2.006
Ge 2.270 5.873 7.227
Ge 0.636 1.256 2.610



No. 16
4
Lattice="3.768 0.000 0.000 1.884 3.263 0.000 1.884 1.088 9.739" Properties=species:S:1:pos:R:3 comment="PBE SmDy2Ge, relaxed" e_form_ev_per_atom=-0.245 n_ef_per_ev_cell=5.5 vol_a3_per_cell=119.7 mass_density_g_cm3=7.6 m_tot_mub_per_fu=0.500 spacegroup=R3m pbc="T T T"
Sm 3.768 2.175 4.848
Dy 1.884 1.088 7.848
Dy 1.884 1.088 1.901
Ge 3.768 2.175 0.013



No. 17
18
Lattice="-2.957 -6.662 2.501 8.646 1.139 -1.294 0.795 2.450 7.465" Properties=species:S:1:pos:R:3 comment="PBE Sm3Dy2Ge4, relaxed" e_form_ev_per_atom=-0.850 n_ef_per_ev_cell=12.1 vol_a3_per_cell=453.0 mass_density_g_cm3=7.8 m_tot_mub_per_fu=0.000 spacegroup=P2_1/c pbc="T T T"
Sm 4.720 1.794 3.086
Sm 2.845 -2.762 0.603
Sm 0.494 -1.983 7.439
Sm 4.621 -4.083 3.512
Sm 5.990 -1.090 1.233
Sm 1.863 1.010 5.160
Dy 0.820 -2.292 3.469
Dy 4.322 -3.692 7.732
Dy 5.664 -0.781 5.203
Dy 2.162 0.619 0.940
Ge -1.142 -3.819 5.235
Ge 6.484 -1.546 7.854
Ge 7.626 0.746 3.437
Ge -0.001 -1.527 0.818
Ge 1.884 -4.982 2.504
Ge 2.928 -2.020 5.598
Ge 4.600 1.908 6.168
Ge 3.556 -1.053 3.074



No. 18
4
Lattice="4.688 0.000 0.000 0.000 4.702 0.000 0.000 0.000 4.702" Properties=species:S:1:pos:R:3 comment="PBE SmDy2Ge, relaxed" e_form_ev_per_atom=-0.328 n_ef_per_ev_cell=4.7 vol_a3_per_cell=103.6 mass_density_g_cm3=8.8 m_tot_mub_per_fu=0.000 spacegroup=P4/mmm pbc="T T T"
Ge 2.344 2.351 2.351
Sm 2.344 0.000 0.000
Dy 0.000 0.000 2.351
Dy 0.000 2.351 0.000



No. 19
5
Lattice="3.808 0.000 0.000 0.000 5.799 0.197 -1.904 -1.474 5.860" Properties=species:S:1:pos:R:3 comment="PBE SmDy2Ge2, relaxed" e_form_ev_per_atom=-0.566 n_ef_per_ev_cell=5.1 vol_a3_per_cell=130.5 mass_density_g_cm3=7.9 m_tot_mub_per_fu=0.000 spacegroup=C2/m pbc="T T T"
Sm 0.000 0.000 0.000
Dy 0.000 1.440 4.303
Dy 1.904 2.885 1.753
Ge 1.904 0.045 2.475
Ge 0.000 4.280 3.581



No. 20
3
Lattice="4.940 0.000 0.000 2.470 4.278 0.000 2.470 1.426 4.033" Properties=species:S:1:pos:R:3 comment="PBE SmDyGe, relaxed" e_form_ev_per_atom=-0.536 n_ef_per_ev_cell=2.6 vol_a3_per_cell=85.2 mass_density_g_cm3=7.5 m_tot_mub_per_fu=0.000 spacegroup=F-43m pbc="T T T"
Ge 2.470 1.426 1.008
Sm 4.940 2.852 2.017
Dy 0.000 0.000 0.000



No. 21
10
Lattice="4.413 0.000 0.000 2.207 6.204 0.153 2.207 1.180 9.586" Properties=species:S:1:pos:R:3 comment="PBE Sm2DyGe2, relaxed" e_form_ev_per_atom=-0.700 n_ef_per_ev_cell=5.6 vol_a3_per_cell=261.6 mass_density_g_cm3=7.7 m_tot_mub_per_fu=0.000 spacegroup=C2/m pbc="T T T"
Sm 2.207 1.791 0.883
Sm 4.413 2.952 6.638
Sm 6.620 5.592 8.856
Sm 4.413 4.431 3.100
Dy 4.413 0.916 3.472
Dy 4.413 6.467 6.267
Ge 6.620 2.009 8.573
Ge 2.207 2.555 4.244
Ge 2.207 5.374 1.166
Ge 6.620 4.828 5.495



No. 22
3
Lattice="4.241 0.000 0.000 0.000 4.738 0.000 0.000 -2.369 4.103" Properties=species:S:1:pos:R:3 comment="PBE SmDyGe, relaxed" e_form_ev_per_atom=-0.393 n_ef_per_ev_cell=2.0 vol_a3_per_cell=82.4 mass_density_g_cm3=7.8 m_tot_mub_per_fu=0.000 spacegroup=P3m1 pbc="T T T"
Ge 0.259 0.000 0.000
Sm 2.996 0.000 2.736
Dy 0.986 2.369 1.368



No. 23
10
Lattice="4.161 0.000 0.000 0.000 7.743 0.000 0.000 0.000 7.743" Properties=species:S:1:pos:R:3 comment="PBE SmDy2Ge2, relaxed" e_form_ev_per_atom=-0.737 n_ef_per_ev_cell=9.7 vol_a3_per_cell=249.5 mass_density_g_cm3=8.3 m_tot_mub_per_fu=0.000 spacegroup=P4/mbm pbc="T T T"
Sm 2.081 3.872 0.000
Sm 2.081 0.000 3.872
Dy 0.000 5.199 2.545
Dy 0.000 6.416 6.416
Dy 0.000 1.327 1.327
Dy 0.000 2.545 5.199
Ge 2.081 2.903 2.903
Ge 2.081 6.775 0.968
Ge 2.081 0.968 6.775
Ge 2.081 4.840 4.840